--- A ---
## Li2AlZnH (PBE)

Data for a relaxed structure of Li2AlZnH.

The structure belongs to space group P4/mmm (No. 123); the cell edges are 3.935, 3.935 and 4.084 Å and the angles 90.00°, 90.00° and 90.00°. Symmetry generates all atoms from Li at (0.000, 0.500, 0.000), Al at (0.000, 0.000, 0.500), Zn at (0.500, 0.500, 0.500) and H at (0.500, 0.500, 0.000).

=====

--- B ---
## Li2AlZnH (PBE)

Data for a relaxed structure of Li2AlZnH.

The structure belongs to space group P4/mmm (No. 123); the cell edges are 3.872, 3.872 and 4.202 Å and the angles 90.00°, 90.00° and 90.00°. Symmetry generates all atoms from Li at (0.000, 0.500, 0.000), Al at (0.000, 0.000, 0.500), Zn at (0.500, 0.500, 0.500) and H at (0.000, 0.000, 0.000).

=====

Which structure loses on stability? A does.

=====

--- A ---
## MgAl2H6 (PBE)

Data for a relaxed structure of MgAl2H6.

The structure belongs to space group Fm-3m (No. 225); the cell edges are 6.622, 6.622 and 6.622 Å and the angles 90.00°, 90.00° and 90.00°. Symmetry generates all atoms from Mg at (0.000, 0.000, 0.000), Al at (0.250, 0.250, 0.250) and H at (0.000, 0.000, 0.276).

=====

--- B ---
## MgAl2H6 (PBE)

Data for a relaxed structure of MgAl2H6.

The structure belongs to space group C2/c (No. 15); the cell edges are 6.984, 9.252 and 7.516 Å and the angles 90.00°, 117.05° and 90.00°. Symmetry generates all atoms from Mg at (0.000, 0.213, 0.250), Al at (0.176, 0.078, 0.736), H at (0.092, 0.352, 0.105), H at (0.180, 0.144, 0.532) and H at (0.230, 0.097, 0.229).

=====

Which structure loses on stability? A does.